Ni2TeCl | PBE | relaxed

Geometry as CIF:
```
data_Ni2TeCl
_chemical_formula_sum 'Ni8 Te4 Cl4'
_symmetry_space_group_name_H-M 'F -4 3 m'
_symmetry_Int_Tables_number 216
_symmetry_space_group_name_Hall 'F -4 2 3'
_cell_length_a 6.490
_cell_length_b 6.490
_cell_length_c 6.490
_cell_angle_alpha 90.00
_cell_angle_beta 90.00
_cell_angle_gamma 90.00
loop_
_atom_site_label
_atom_site_type_symbol
_atom_site_fract_x
_atom_site_fract_y
_atom_site_fract_z
_atom_site_occupancy
Ni1 Ni 0.000 0.000 0.000 1
Ni2 Ni 0.250 0.250 0.250 1
Te1 Te 0.000 0.000 0.500 1
Cl1 Cl 0.250 0.250 0.750 1
```

Energy (eV per atom): -3.47
Crystal system: cubic
Offset from the most stable computed form (eV per atom): 0.822
Energy relative to the elements, uncorrected (eV/atom): 0.6675

***

Ni2TeCl | PBE | relaxed

Geometry as CIF:
```
data_Ni2TeCl
_chemical_formula_sum 'Ni4 Te2 Cl2'
_symmetry_space_group_name_H-M 'C m m m'
_symmetry_Int_Tables_number 65
_symmetry_space_group_name_Hall '-C 2 2'
_cell_length_a 3.355
_cell_length_b 6.562
_cell_length_c 7.166
_cell_angle_alpha 90.00
_cell_angle_beta 90.00
_cell_angle_gamma 90.00
loop_
_atom_site_label
_atom_site_type_symbol
_atom_site_fract_x
_atom_site_fract_y
_atom_site_fract_z
_atom_site_occupancy
Ni1 Ni 0.000 0.000 0.247 1
Te1 Te 0.000 0.500 0.500 1
Cl1 Cl 0.000 0.500 0.000 1
```

Energy (eV per atom): -3.94
Crystal system: orthorhombic
Offset from the most stable computed form (eV per atom): 0.348
Energy relative to the elements, uncorrected (eV/atom): 0.1937

***

Ni2TeCl | PBE | relaxed

Geometry as CIF:
```
data_Ni2TeCl
_chemical_formula_sum 'Ni2 Te1 Cl1'
_symmetry_space_group_name_H-M 'P 4 m m'
_symmetry_Int_Tables_number 99
_cell_length_a 3.313
_cell_length_b 3.313
_cell_length_c 7.000
_cell_angle_alpha 90.00
_cell_angle_beta 90.00
_cell_angle_gamma 90.00
loop_
_symmetry_equiv_pos_as_xyz
'x,y,z'
'-y,x,z'
'-x,-y,z'
'y,-x,z'
'-x,y,z'
'y,x,z'
'x,-y,z'
'-y,-x,z'
loop_
_atom_site_label
_atom_site_type_symbol
_atom_site_fract_x
_atom_site_fract_y
_atom_site_fract_z
_atom_site_occupancy
Ni1 Ni 0.000 0.000 0.000 1
Ni2 Ni 0.500 0.500 0.171 1
Te1 Te 0.000 0.000 0.349 1
Cl1 Cl 0.500 0.500 0.836 1
```

Energy (eV per atom): -4.21
Crystal system: tetragonal
Offset from the most stable computed form (eV per atom): 0.078
Energy relative to the elements, uncorrected (eV/atom): -0.0759

***

Ni2TeCl | PBE | relaxed

Geometry as CIF:
```
data_Ni2TeCl
_chemical_formula_sum 'Ni8 Te4 Cl4'
_symmetry_space_group_name_H-M 'I -4 2 d'
_symmetry_Int_Tables_number 122
_symmetry_space_group_name_Hall 'I -4 2bw'
_cell_length_a 5.677
_cell_length_b 5.677
_cell_length_c 10.190
_cell_angle_alpha 90.00
_cell_angle_beta 90.00
_cell_angle_gamma 90.00
loop_
_atom_site_label
_atom_site_type_symbol
_atom_site_fract_x
_atom_site_fract_y
_atom_site_fract_z
_atom_site_occupancy
Ni1 Ni 0.230 0.250 0.125 1
Te1 Te 0.000 0.000 0.500 1
Cl1 Cl 0.000 0.000 0.000 1
```

Energy (eV per atom): -4.19
Crystal system: tetragonal
Offset from the most stable computed form (eV per atom): 0.105
Energy relative to the elements, uncorrected (eV/atom): -0.0487

***

Tm3NiTeCl | PBE | relaxed

Geometry as CIF:
```
data_Tm3NiTeCl
_chemical_formula_sum 'Tm6 Ni2 Te2 Cl2'
_symmetry_space_group_name_H-M 'P 1 21/m 1'
_symmetry_Int_Tables_number 11
_cell_length_a 8.301
_cell_length_b 3.974
_cell_length_c 9.622
_cell_angle_alpha 90.00
_cell_angle_beta 96.38
_cell_angle_gamma 90.00
loop_
_symmetry_equiv_pos_as_xyz
'x,y,z'
'-x,-y,-z'
'-x,y+1/2,-z'
'x,-y+1/2,z'
loop_
_atom_site_label
_atom_site_type_symbol
_atom_site_fract_x
_atom_site_fract_y
_atom_site_fract_z
_atom_site_occupancy
Tm1 Tm 0.135 0.250 0.395 1
Tm2 Tm 0.136 0.250 0.820 1
Tm3 Tm 0.292 0.750 0.116 1
Ni1 Ni 0.054 0.250 0.097 1
Te1 Te 0.416 0.750 0.819 1
Cl1 Cl 0.350 0.750 0.414 1
```

Energy (eV per atom): -4.99
Crystal system: monoclinic
Energy relative to the elements, uncorrected (eV/atom): -0.9639

***

NiTeWCl2 | PBE | relaxed

Geometry as CIF:
```
data_NiTeWCl2
_chemical_formula_sum 'Ni1 Te1 W1 Cl2'
_symmetry_space_group_name_H-M 'P 4/m m m'
_symmetry_Int_Tables_number 123
_symmetry_space_group_name_Hall '-P 4 2'
_cell_length_a 4.315
_cell_length_b 4.315
_cell_length_c 5.795
_cell_angle_alpha 90.00
_cell_angle_beta 90.00
_cell_angle_gamma 90.00
loop_
_atom_site_label
_atom_site_type_symbol
_atom_site_fract_x
_atom_site_fract_y
_atom_site_fract_z
_atom_site_occupancy
Ni1 Ni 0.000 0.000 0.000 1
Te1 Te 0.500 0.500 0.500 1
W1 W 0.000 0.000 0.500 1
Cl1 Cl 0.000 0.500 0.000 1
```

Energy (eV per atom): -4.46
Crystal system: tetragonal
Energy relative to the elements, uncorrected (eV/atom): 0.6544

***

Y3NiTeCl | PBE | relaxed

Geometry as CIF:
```
data_Y3NiTeCl
_chemical_formula_sum 'Y6 Ni2 Te2 Cl2'
_symmetry_space_group_name_H-M 'P 1 21/m 1'
_symmetry_Int_Tables_number 11
_cell_length_a 8.403
_cell_length_b 4.046
_cell_length_c 9.759
_cell_angle_alpha 90.00
_cell_angle_beta 96.82
_cell_angle_gamma 90.00
loop_
_symmetry_equiv_pos_as_xyz
'x,y,z'
'-x,-y,-z'
'-x,y+1/2,-z'
'x,-y+1/2,z'
loop_
_atom_site_label
_atom_site_type_symbol
_atom_site_fract_x
_atom_site_fract_y
_atom_site_fract_z
_atom_site_occupancy
Y1 Y 0.132 0.250 0.319 1
Y2 Y 0.143 0.250 0.900 1
Y3 Y 0.298 0.750 0.618 1
Ni1 Ni 0.057 0.250 0.597 1
Te1 Te 0.411 0.750 0.318 1
Cl1 Cl 0.357 0.750 0.913 1
```

Energy (eV per atom): -6.00
Crystal system: monoclinic
Energy relative to the elements, uncorrected (eV/atom): -0.9739

***

ThNiCl | PBE | relaxed

Geometry as CIF:
```
data_ThNiCl
_chemical_formula_sum 'Th4 Ni4 Cl4'
_symmetry_space_group_name_H-M 'C 1 2/m 1'
_symmetry_Int_Tables_number 12
_cell_length_a 7.273
_cell_length_b 4.041
_cell_length_c 11.130
_cell_angle_alpha 90.00
_cell_angle_beta 106.30
_cell_angle_gamma 90.00
loop_
_symmetry_equiv_pos_as_xyz
'x,y,z'
'-x,-y,-z'
'-x,y,-z'
'x,-y,z'
'x+1/2,y+1/2,z'
'-x+1/2,-y+1/2,-z'
'-x+1/2,y+1/2,-z'
'x+1/2,-y+1/2,z'
loop_
_atom_site_label
_atom_site_type_symbol
_atom_site_fract_x
_atom_site_fract_y
_atom_site_fract_z
_atom_site_occupancy
Th1 Th 0.022 0.000 0.167 1
Ni1 Ni 0.153 0.500 0.987 1
Cl1 Cl 0.225 0.000 0.660 1
```

Energy (eV per atom): -6.15
Crystal system: monoclinic
Energy relative to the elements, uncorrected (eV/atom): -1.1353

***

TiNi2Cl | PBE | relaxed

Geometry as CIF:
```
data_TiNi2Cl
_chemical_formula_sum 'Ti4 Ni8 Cl4'
_symmetry_space_group_name_H-M 'I -4 2 d'
_symmetry_Int_Tables_number 122
_symmetry_space_group_name_Hall 'I -4 2bw'
_cell_length_a 6.752
_cell_length_b 6.752
_cell_length_c 4.894
_cell_angle_alpha 90.00
_cell_angle_beta 90.00
_cell_angle_gamma 90.00
loop_
_atom_site_label
_atom_site_type_symbol
_atom_site_fract_x
_atom_site_fract_y
_atom_site_fract_z
_atom_site_occupancy
Ti1 Ti 0.000 0.000 0.000 1
Ni1 Ni 0.226 0.250 0.625 1
Cl1 Cl 0.000 0.000 0.500 1
```

Energy (eV per atom): -5.27
Crystal system: tetragonal
Offset from the most stable computed form (eV per atom): 0.000
Energy relative to the elements, uncorrected (eV/atom): 0.0565

***

TiNiCl3 | PBE | relaxed

Geometry as CIF:
```
data_TiNiCl3
_chemical_formula_sum 'Ti1 Ni1 Cl3'
_symmetry_space_group_name_H-M 'P m -3 m'
_symmetry_Int_Tables_number 221
_symmetry_space_group_name_Hall '-P 4 2 3'
_cell_length_a 4.649
_cell_length_b 4.649
_cell_length_c 4.649
_cell_angle_alpha 90.00
_cell_angle_beta 90.00
_cell_angle_gamma 90.00
loop_
_atom_site_label
_atom_site_type_symbol
_atom_site_fract_x
_atom_site_fract_y
_atom_site_fract_z
_atom_site_occupancy
Ti1 Ti 0.000 0.000 0.000 1
Ni1 Ni 0.500 0.500 0.500 1
Cl1 Cl 0.000 0.500 0.500 1
```

Energy (eV per atom): -4.05
Crystal system: cubic
Energy relative to the elements, uncorrected (eV/atom): -0.2115

***

Ti2NiCl2 | PBE | relaxed

Geometry as CIF:
```
data_Ti2NiCl2
_chemical_formula_sum 'Ti4 Ni2 Cl4'
_symmetry_space_group_name_H-M 'P 4/m b m'
_symmetry_Int_Tables_number 127
_symmetry_space_group_name_Hall '-P 4 2ab'
_cell_length_a 7.015
_cell_length_b 7.015
_cell_length_c 3.080
_cell_angle_alpha 90.00
_cell_angle_beta 90.00
_cell_angle_gamma 90.00
loop_
_atom_site_label
_atom_site_type_symbol
_atom_site_fract_x
_atom_site_fract_y
_atom_site_fract_z
_atom_site_occupancy
Ti1 Ti 0.160 0.340 0.000 1
Ni1 Ni 0.000 0.000 0.000 1
Cl1 Cl 0.139 0.639 0.500 1
```

Energy (eV per atom): -5.16
Crystal system: tetragonal
Offset from the most stable computed form (eV per atom): 0.018
Energy relative to the elements, uncorrected (eV/atom): -0.1098

***

TiNi2Cl6 | PBE | relaxed

Geometry as CIF:
```
data_TiNi2Cl6
_chemical_formula_sum 'Ti4 Ni8 Cl24'
_symmetry_space_group_name_H-M 'C 1 2/c 1'
_symmetry_Int_Tables_number 15
_cell_length_a 12.129
_cell_length_b 10.846
_cell_length_c 6.346
_cell_angle_alpha 90.00
_cell_angle_beta 101.09
_cell_angle_gamma 90.00
loop_
_symmetry_equiv_pos_as_xyz
'x,y,z'
'-x,-y,-z'
'-x,y,-z+1/2'
'x,-y,z+1/2'
'x+1/2,y+1/2,z'
'-x+1/2,-y+1/2,-z'
'-x+1/2,y+1/2,-z+1/2'
'x+1/2,-y+1/2,z+1/2'
loop_
_atom_site_label
_atom_site_type_symbol
_atom_site_fract_x
_atom_site_fract_y
_atom_site_fract_z
_atom_site_occupancy
Ti1 Ti 0.000 0.103 0.250 1
Ni1 Ni 0.183 0.422 0.325 1
Cl1 Cl 0.114 0.071 0.610 1
Cl2 Cl 0.122 0.244 0.150 1
Cl3 Cl 0.130 0.413 0.634 1
```

Energy (eV per atom): -4.27
Crystal system: monoclinic
Energy relative to the elements, uncorrected (eV/atom): -0.8768